This record from Alexandria via LeMat-Bulk describes a relaxed Mg2TlCl crystal. The functional is PBE-GGA.

Summary:
Its uncorrected formation energy is -0.39 eV per atom. For the excess energy over the best structure of this formula in the dataset, the calculation gives 124 meV/atom.

a = 3.3298 Å, b = 6.0138 Å, c = 9.9823 Å
α = 90.00°, β = 90.00°, γ = 90.00°
Closest atoms and distances in Å follow each position.
Space group Immm (No. 71)
One atom of each set of equivalent atoms:
1 Mg 0.0000 0.0000 0.2220 x4  2 Cl 2.77
2 Tl 0.0000 0.5000 0.0000 x2  4 Mg 3.24, 2 Tl 3.33, 4 Cl 3.44
3 Cl 0.0000 0.5000 0.5000 x2  4 Mg 2.77

---

This record from Alexandria via LeMat-Bulk describes a relaxed LiZnRu crystal. The functional is PBE-GGA.

Summary:
As for the formation energy: 49 meV per atom. For the excess energy over the best structure of this formula in the dataset, the calculation gives 67 meV/atom.

a = 4.3071 Å, b = 4.3071 Å, c = 2.5183 Å
α = 90.00°, β = 90.00°, γ = 120.00°
Closest atoms and distances in Å follow each position.
Space group P3m1 (No. 156)
One atom of each set of equivalent atoms:
1 Li 0.0000 0.0000 0.0000 x1  2 Li 2.52, 3 Zn 2.55, 3 Ru 2.66
2 Zn 0.3333 0.6667 0.7820 x1  2 Zn 2.52, 3 Li 2.55, 3 Ru 2.69
3 Ru 0.6667 0.3333 0.3697 x1  2 Ru 2.52, 3 Li 2.66, 3 Zn 2.69

---

This record from Alexandria via LeMat-Bulk describes a relaxed Sr4Sn3Hg crystal. The functional is PBE-GGA.

Summary:
As for the formation energy: -609 meV per atom.

a = 11.5849 Å, b = 7.9192 Å, c = 5.7900 Å
α = 90.00°, β = 90.00°, γ = 90.00°
Closest atoms and distances in Å follow each position.
Space group Pmma (No. 51)
One atom of each set of equivalent atoms:
1 Sr 0.0000 0.2498 0.0000 x4  6 Sn 3.51, 2 Hg 3.51
2 Sr 0.2500 0.2497 0.4989 x4  6 Sn 3.50-3.51, 2 Hg 3.51
3 Sn 0.0000 0.0000 0.5000 x2  8 Sr 3.51
4 Sn 0.2500 0.0000 0.9985 x2  8 Sr 3.50-3.51
5 Sn 0.2500 0.5000 0.9991 x2  8 Sr 3.51
6 Hg 0.0000 0.5000 0.5000 x2  8 Sr 3.51

---

This record from Alexandria via LeMat-Bulk describes a relaxed AsPdO3 crystal. The functional is PBE-GGA.

Summary:
Its uncorrected formation energy is -0.69 eV per atom.

a = 17.0442 Å, b = 3.3668 Å, c = 5.7894 Å
α = 90.00°, β = 109.79°, γ = 90.00°
Closest atoms and distances in Å follow each position.
Space group C2/m (No. 12)
One atom of each set of equivalent atoms:
1 As 0.1514 0.0000 0.1512 x4  4 O 1.80-1.84
2 Pd 0.0000 0.5000 0.2456 x4  4 O 2.13
3 O 0.0815 0.0000 0.3255 x4  1 As 1.80
4 O 0.0816 0.0000 0.8374 x4  1 As 1.80
5 O 0.1981 0.5000 0.1978 x4  2 As 1.84

---

This record from Alexandria via LeMat-Bulk describes a relaxed CaRuRh crystal. The functional is PBE-GGA.

Summary:
As for the formation energy: 148 meV per atom. For the excess energy over the best structure of this formula in the dataset, the calculation gives 307 meV/atom.

a = 2.9322 Å, b = 2.9322 Å, c = 12.5112 Å
α = 90.00°, β = 90.00°, γ = 90.00°
Closest atoms and distances in Å follow each position.
Space group I4mm (No. 107)
One atom of each set of equivalent atoms:
1 Ca 0.0000 0.0000 0.0000 x2  4 Ca 2.93, 4 Rh 3.12, 4 Ru 3.14
2 Ru 0.0000 0.0000 0.3116 x2  4 Rh 2.60
3 Rh 0.0000 0.0000 0.6865 x2  4 Ru 2.60

---

This record from Alexandria via LeMat-Bulk describes a relaxed NiTe2AuI crystal. The functional is PBE-GGA.

Summary:
Its uncorrected formation energy is 0.98 eV per atom. For the excess energy over the best structure of this formula in the dataset, the calculation gives 453 meV/atom.

a = 5.4832 Å, b = 5.4832 Å, c = 5.5531 Å
α = 90.00°, β = 90.00°, γ = 90.00°
Closest atoms and distances in Å follow each position.
Space group P4/mmm (No. 123)
One atom of each set of equivalent atoms:
1 Ni 0.0000 0.0000 0.0000 x1  4 I 3.88, 8 Te 3.90
2 Te 0.0000 0.5000 0.5000 x2  2 Au 2.74
3 Au 0.5000 0.5000 0.5000 x1  4 Te 2.74, 2 I 2.78
4 I 0.5000 0.5000 0.0000 x1  2 Au 2.78

---

This record from Alexandria via LeMat-Bulk describes a relaxed BaLi2As crystal. The functional is PBE-GGA.

Summary:
As for the formation energy: -235 meV per atom.

a = 5.4208 Å, b = 5.6188 Å, c = 6.8296 Å
α = 90.00°, β = 90.00°, γ = 90.00°
Closest atoms and distances in Å follow each position.
Space group Cmmm (No. 65)
One atom of each set of equivalent atoms:
1 Ba 0.0000 0.0000 0.0000 x2  2 As 3.41, 8 Li 3.53-3.61
2 Li 0.0000 0.5000 0.3309 x4  1 Li 2.31
3 As 0.0000 0.0000 0.5000 x2  8 Li 2.95-3.04

---

This record from Alexandria via LeMat-Bulk describes a relaxed Rb2TiVSb crystal. The functional is PBE-GGA.

Summary:
Its uncorrected formation energy is 1.19 eV per atom.

a = 6.7206 Å, b = 6.7206 Å, c = 4.3416 Å
α = 90.00°, β = 90.00°, γ = 90.00°
Closest atoms and distances in Å follow each position.
Space group P4/mmm (No. 123)
One atom of each set of equivalent atoms:
1 Rb 0.0000 0.5000 0.0000 x2  2 V 3.36
2 Ti 0.0000 0.0000 0.5000 x1  2 V 2.17
3 V 0.0000 0.0000 0.0000 x1  2 Ti 2.17
4 Sb 0.5000 0.5000 0.5000 x1  8 Rb 4.00, 2 Sb 4.34

---

This record from Alexandria via LeMat-Bulk describes a relaxed CdCo3Sn crystal. The functional is PBE-GGA.

Summary:
As for the formation energy: 1212 meV per atom. For the excess energy over the best structure of this formula in the dataset, the calculation gives 0 meV/atom.

a = 4.6804 Å, b = 4.6804 Å, c = 4.6804 Å
α = 90.00°, β = 90.00°, γ = 90.00°
Closest atoms and distances in Å follow each position.
Space group Pm-3m (No. 221)
One atom of each set of equivalent atoms:
1 Cd 0.0000 0.0000 0.0000 x1  12 Co 3.31
2 Co 0.0000 0.5000 0.5000 x3  2 Sn 2.34
3 Sn 0.5000 0.5000 0.5000 x1  6 Co 2.34

---

This record from Alexandria via LeMat-Bulk describes a relaxed KNiW2 crystal. The functional is PBE-GGA.

Summary:
As for the formation energy: 861 meV per atom. For the excess energy over the best structure of this formula in the dataset, the calculation gives 144 meV/atom.

a = 2.8440 Å, b = 2.8440 Å, c = 30.8394 Å
α = 90.00°, β = 90.00°, γ = 120.00°
Closest atoms and distances in Å follow each position.
Space group R3m (No. 160, hexagonal axes)
One atom of each set of equivalent atoms:
1 K 0.0000 0.0000 0.0000 x3  6 K 2.84
2 Ni 0.0000 0.0000 0.2433 x3  3 W 2.56, 6 Ni 2.84
3 W 0.0000 0.0000 0.5132 x3  3 Ni 2.56, 6 W 2.84
4 W 0.0000 0.0000 0.7688 x3  9 W 2.84-2.91

---

This record from Alexandria via LeMat-Bulk describes a relaxed TlCoMoAu crystal. The functional is PBE-GGA.

Summary:
As for the formation energy: 303 meV per atom. For the excess energy over the best structure of this formula in the dataset, the calculation gives 0 meV/atom.

a = 2.8921 Å, b = 2.8757 Å, c = 8.4611 Å
α = 90.00°, β = 99.60°, γ = 90.00°
Closest atoms and distances in Å follow each position.
Space group Pm (No. 6)
One atom of each set of equivalent atoms:
1 Tl 0.0000 0.0000 0.0000 x1  4 Tl 2.88-2.89, 4 Co 2.88, 2 Au 3.06
2 Co 0.6178 0.5000 0.2443 x1  4 Mo 2.54
3 Mo 0.2073 0.0000 0.4260 x1  4 Co 2.54
4 Au 0.8304 0.5000 0.6769 x1  4 Au 2.88-2.89, 4 Mo 2.92, 2 Tl 3.06

---

This record from Alexandria via LeMat-Bulk describes a relaxed Rb2ZnAgAs2 crystal. The functional is PBE-GGA.

Summary:
As for the formation energy: -278 meV per atom.

a = 6.4646 Å, b = 16.4458 Å, c = 6.3993 Å
α = 90.00°, β = 90.00°, γ = 90.00°
Closest atoms and distances in Å follow each position.
Space group Ibam (No. 72)
One atom of each set of equivalent atoms:
1 Rb 0.2391 0.1691 0.0000 x8  4 As 3.45-3.56, 2 Ag 3.56, 2 Zn 3.63
2 Zn 0.0000 0.5000 0.2500 x4  4 As 2.61
3 Ag 0.0000 0.0000 0.2500 x4  4 As 2.77
4 As 0.2296 0.4130 0.0000 x8  2 Zn 2.61, 2 Ag 2.77